Crystalline ScAl2Tl at its relaxed geometry, computed with GGA-PBE. Values from VASP.

Cell and atoms, written as Quantum ESPRESSO input:
```
&SYSTEM
  ibrav = 0, nat = 4, ntyp = 3
/
ATOMIC_SPECIES
Sc 44.96 Sc.upf
Al 26.98 Al.upf
Tl 204.38 Tl.upf
CELL_PARAMETERS angstrom
-3.366 -1.866 -1.955
2.611 -3.054 -1.580
-0.692 -2.386 3.468
ATOMIC_POSITIONS crystal
Sc 0.500 0.000 0.500
Al 0.500 0.500 0.000
Al 0.000 0.000 0.000
Tl 0.000 0.500 0.500
```

Calculated values
calculated density = 6.34 Mg/m³
ΔH_f (0 K) = -0.201 eV per atom
M_tot = 0.00 μB per formula unit
crystal system = tetragonal
total DFT energy (no corrections) = -17.0 eV/cell
symmetry = No. 123



Crystalline Sc6Al5Tl at its relaxed geometry, computed with GGA-PBE. Values from VASP.

Cell and atoms, written as Quantum ESPRESSO input:
```
&SYSTEM
  ibrav = 0, nat = 12, ntyp = 3
/
ATOMIC_SPECIES
Sc 44.96 Sc.upf
Al 26.98 Al.upf
Tl 204.38 Tl.upf
CELL_PARAMETERS angstrom
-2.429 1.486 3.939
-5.357 1.499 -3.868
1.268 -8.219 0.993
ATOMIC_POSITIONS crystal
Sc 0.831 0.084 0.661
Sc 0.831 0.577 0.661
Sc 0.500 0.257 0.000
Sc 0.169 0.423 0.339
Sc 0.500 0.743 0.000
Sc 0.169 0.916 0.339
Al 0.667 0.667 0.333
Al 0.334 0.834 0.667
Al 0.000 0.500 0.000
Al 0.333 0.333 0.667
Al 0.666 0.166 0.333
Tl 0.000 0.000 0.000
```

Calculated values
calculated density = 4.21 Mg/m³
ΔH_f (0 K) = -0.388 eV per atom
M_tot = 0.00 μB per formula unit
crystal system = monoclinic
total DFT energy (no corrections) = -63.7 eV/cell
symmetry = No. 12



Crystalline Sc8Al2Tl at its relaxed geometry, computed with GGA-PBE. Values from VASP.

Cell and atoms, written as Quantum ESPRESSO input:
```
&SYSTEM
  ibrav = 0, nat = 11, ntyp = 3
/
ATOMIC_SPECIES
Sc 44.96 Sc.upf
Al 26.98 Al.upf
Tl 204.38 Tl.upf
CELL_PARAMETERS angstrom
4.601 0.000 -1.486
-1.167 6.757 -3.614
0.007 0.031 7.890
ATOMIC_POSITIONS crystal
Sc 0.598 0.463 0.195
Sc 0.147 0.197 0.294
Sc 0.939 0.280 0.878
Sc 0.685 0.947 0.369
Sc 0.315 0.053 0.631
Sc 0.402 0.537 0.805
Sc 0.061 0.720 0.122
Sc 0.853 0.803 0.706
Al 0.777 0.378 0.554
Al 0.223 0.622 0.446
Tl 0.500 0.000 0.000
```

Calculated values
calculated density = 4.17 Mg/m³
ΔH_f (0 K) = -0.234 eV per atom
M_tot = 0.24 μB per formula unit
crystal system = monoclinic
total DFT energy (no corrections) = -63.1 eV/cell
symmetry = No. 12
polymorph energy (0 for the lowest one) = 0 kJ/mol of formula units



Crystalline Sc4Al3Tl at its relaxed geometry, computed with GGA-PBE. Values from VASP.

Cell and atoms, written as Quantum ESPRESSO input:
```
&SYSTEM
  ibrav = 0, nat = 16, ntyp = 3
/
ATOMIC_SPECIES
Sc 44.96 Sc.upf
Al 26.98 Al.upf
Tl 204.38 Tl.upf
CELL_PARAMETERS angstrom
4.858 0.000 0.000
0.000 6.916 0.000
0.000 0.000 9.717
ATOMIC_POSITIONS crystal
Sc 0.999 0.242 0.250
Sc 0.001 0.242 0.750
Sc 0.999 0.758 0.250
Sc 0.500 0.242 0.500
Sc 0.500 0.758 0.000
Sc 0.001 0.758 0.750
Sc 0.500 0.758 0.500
Sc 0.500 0.242 0.000
Al 0.501 0.000 0.750
Al 0.000 0.000 0.000
Al 0.499 0.500 0.250
Al 0.000 0.000 0.500
Al 0.499 0.000 0.250
Al 0.501 0.500 0.750
Tl 0.000 0.500 0.500
Tl 0.000 0.500 0.000
```

Calculated values
calculated density = 4.73 Mg/m³
ΔH_f (0 K) = -0.362 eV per atom
M_tot = 0.00 μB per formula unit
crystal system = orthorhombic
total DFT energy (no corrections) = -83.6 eV/cell
symmetry = No. 51



Crystalline Sc5Al4Tl at its relaxed geometry, computed with GGA-PBE. Values from VASP.

Cell and atoms, written as Quantum ESPRESSO input:
```
&SYSTEM
  ibrav = 0, nat = 10, ntyp = 3
/
ATOMIC_SPECIES
Al 26.98 Al.upf
Sc 44.96 Sc.upf
Tl 204.38 Tl.upf
CELL_PARAMETERS angstrom
3.385 0.000 0.000
0.000 3.385 0.000
0.000 0.000 17.558
ATOMIC_POSITIONS crystal
Al 0.000 0.000 0.788
Al 0.000 0.000 0.595
Al 0.000 0.000 0.405
Al 0.000 0.000 0.212
Sc 0.500 0.500 0.690
Sc 0.500 0.500 0.886
Sc 0.500 0.500 0.114
Sc 0.500 0.500 0.500
Sc 0.500 0.500 0.310
Tl 0.000 0.000 0.000
```

Calculated values
calculated density = 4.43 Mg/m³
ΔH_f (0 K) = -0.401 eV per atom
M_tot = 0.00 μB per formula unit
crystal system = tetragonal
total DFT energy (no corrections) = -53.0 eV/cell
symmetry = No. 123



Crystalline Sc2AlTl at its relaxed geometry, computed with GGA-PBE. Values from VASP.

Cell and atoms, written as Quantum ESPRESSO input:
```
&SYSTEM
  ibrav = 0, nat = 4, ntyp = 3
/
ATOMIC_SPECIES
Al 26.98 Al.upf
Tl 204.38 Tl.upf
Sc 44.96 Sc.upf
CELL_PARAMETERS angstrom
-4.744 -2.057 1.168
0.789 -5.116 1.141
2.404 4.331 1.888
ATOMIC_POSITIONS crystal
Al 0.250 0.750 0.500
Tl 0.750 0.250 0.500
Sc 0.000 0.000 0.000
Sc 0.500 0.500 0.000
```

Calculated values
calculated density = 6.27 Mg/m³
ΔH_f (0 K) = -0.318 eV per atom
M_tot = 0.69 μB per formula unit
crystal system = tetragonal
total DFT energy (no corrections) = -20.0 eV/cell
symmetry = No. 139



Crystalline ScAl2Tl at its relaxed geometry, computed with GGA-PBE. Values from VASP.

Cell and atoms, written as Quantum ESPRESSO input:
```
&SYSTEM
  ibrav = 0, nat = 4, ntyp = 3
/
ATOMIC_SPECIES
Tl 204.38 Tl.upf
Al 26.98 Al.upf
Sc 44.96 Sc.upf
CELL_PARAMETERS angstrom
-1.174 1.028 -4.671
-1.363 -3.618 -3.050
-4.682 -0.330 -1.492
ATOMIC_POSITIONS crystal
Tl 0.750 0.750 0.750
Al 0.000 0.000 0.000
Al 0.250 0.250 0.250
Sc 0.500 0.500 0.500
```

Calculated values
calculated density = 5.96 Mg/m³
ΔH_f (0 K) = 0.102 eV per atom
M_tot = 0.00 μB per formula unit
crystal system = cubic
total DFT energy (no corrections) = -15.8 eV/cell
symmetry = No. 216



Crystalline Sc2AlTl at its relaxed geometry, computed with GGA-PBE. Values from VASP.

Cell and atoms, written as Quantum ESPRESSO input:
```
&SYSTEM
  ibrav = 0, nat = 4, ntyp = 3
/
ATOMIC_SPECIES
Sc 44.96 Sc.upf
Tl 204.38 Tl.upf
Al 26.98 Al.upf
CELL_PARAMETERS angstrom
-0.461 3.239 0.914
-3.408 0.289 -2.742
-3.734 -1.787 4.452
ATOMIC_POSITIONS crystal
Sc 0.500 0.500 0.252
Sc 0.000 0.000 0.977
Tl 0.000 0.000 0.488
Al 0.500 0.500 0.783
```

Calculated values
calculated density = 5.89 Mg/m³
ΔH_f (0 K) = -0.117 eV per atom
M_tot = 0.00 μB per formula unit
crystal system = orthorhombic
total DFT energy (no corrections) = -19.2 eV/cell
symmetry = No. 25



Crystalline Sc4Al2Tl at its relaxed geometry, computed with GGA-PBE. Values from VASP.

Cell and atoms, written as Quantum ESPRESSO input:
```
&SYSTEM
  ibrav = 0, nat = 7, ntyp = 3
/
ATOMIC_SPECIES
Sc 44.96 Sc.upf
Al 26.98 Al.upf
Tl 204.38 Tl.upf
CELL_PARAMETERS angstrom
-0.994 4.156 2.286
-4.530 1.722 0.036
-3.298 -2.009 7.356
ATOMIC_POSITIONS crystal
Sc 0.613 0.613 0.161
Sc 0.387 0.387 0.839
Sc 0.131 0.131 0.606
Sc 0.869 0.869 0.394
Al 0.251 0.251 0.248
Al 0.749 0.749 0.752
Tl 0.000 0.000 0.000
```

Calculated values
calculated density = 4.57 Mg/m³
ΔH_f (0 K) = -0.189 eV per atom
M_tot = 0.00 μB per formula unit
crystal system = trigonal
total DFT energy (no corrections) = -36.5 eV/cell
symmetry = No. 166



Crystalline Sc3Al2Tl at its relaxed geometry, computed with GGA-PBE. Values from VASP.

Cell and atoms, written as Quantum ESPRESSO input:
```
&SYSTEM
  ibrav = 0, nat = 6, ntyp = 3
/
ATOMIC_SPECIES
Al 26.98 Al.upf
Tl 204.38 Tl.upf
Sc 44.96 Sc.upf
CELL_PARAMETERS angstrom
3.423 0.000 0.000
0.000 3.423 0.000
0.000 0.000 10.604
ATOMIC_POSITIONS crystal
Al 0.500 0.500 0.844
Al 0.500 0.500 0.156
Tl 0.500 0.500 0.500
Sc 0.000 0.000 0.000
Sc 0.000 0.000 0.685
Sc 0.000 0.000 0.315
```

Calculated values
calculated density = 5.25 Mg/m³
ΔH_f (0 K) = -0.368 eV per atom
M_tot = 0.00 μB per formula unit
crystal system = tetragonal
total DFT energy (no corrections) = -31.1 eV/cell
symmetry = No. 123



Crystalline ScAl2Tl at its relaxed geometry, computed with GGA-PBE. Values from VASP.

Cell and atoms, written as Quantum ESPRESSO input:
```
&SYSTEM
  ibrav = 0, nat = 4, ntyp = 3
/
ATOMIC_SPECIES
Sc 44.96 Sc.upf
Al 26.98 Al.upf
Tl 204.38 Tl.upf
CELL_PARAMETERS angstrom
3.547 0.000 0.000
0.000 3.547 0.000
0.000 0.000 6.588
ATOMIC_POSITIONS crystal
Sc 0.000 0.000 0.476
Al 0.500 0.500 0.226
Al 0.000 0.000 0.029
Tl 0.500 0.500 0.768
```

Calculated values
calculated density = 6.07 Mg/m³
ΔH_f (0 K) = -0.068 eV per atom
M_tot = 0.00 μB per formula unit
crystal system = tetragonal
total DFT energy (no corrections) = -16.5 eV/cell
symmetry = No. 99



Crystalline Sc2AlTl at its relaxed geometry, computed with GGA-PBE. Values from VASP.

Cell and atoms, written as Quantum ESPRESSO input:
```
&SYSTEM
  ibrav = 0, nat = 4, ntyp = 3
/
ATOMIC_SPECIES
Al 26.98 Al.upf
Sc 44.96 Sc.upf
Tl 204.38 Tl.upf
CELL_PARAMETERS angstrom
3.179 0.000 0.000
0.000 3.179 0.000
0.000 0.000 8.493
ATOMIC_POSITIONS crystal
Al 0.500 0.500 0.750
Sc 0.000 0.000 0.980
Sc 0.000 0.000 0.520
Tl 0.500 0.500 0.250
```

Calculated values
calculated density = 6.22 Mg/m³
ΔH_f (0 K) = -0.341 eV per atom
M_tot = 0.00 μB per formula unit
crystal system = tetragonal
total DFT energy (no corrections) = -20.1 eV/cell
symmetry = No. 123